# 1
Material: LaDy4Y10
Method: DFT, PBE
State: relaxed

## Properties
E = -5.37 eV/atom
Fermi-level density of states = 27.60 states/eV/f.u.
SG = I4/m (87)
V = 34.67 Å³/atom

a = 10.646 Å, b = 8.786 Å, c = 8.786 Å
α = 68.46°, β = 52.71°, γ = 52.71°
Positions (direct):
Dy 0.776 0.773 0.674
La 0.000 0.000 0.000
Y 0.295 0.660 0.090
Y 0.705 0.340 0.910
Y 0.045 0.340 0.910
Dy 0.451 0.326 0.773
Y 0.955 0.090 0.340
Y 0.045 0.910 0.660
Dy 0.224 0.227 0.326
Y 0.955 0.660 0.090
Y 0.385 0.910 0.660
Y 0.250 0.500 0.500
Dy 0.549 0.674 0.227
Y 0.750 0.500 0.500
Y 0.615 0.090 0.340

---

# 2
Material: LaDy2Y9
Method: DFT, PBE
State: relaxed

## Properties
E = -6.00 eV/atom
Fermi-level density of states = 18.53 states/eV/f.u.
SG = P4/mmm (123)
V = 32.55 Å³/atom

a = 5.066 Å, b = 5.066 Å, c = 15.222 Å
α = 90.00°, β = 90.00°, γ = 90.00°
Positions (direct):
Y 0.000 0.500 0.171
Dy 0.000 0.000 0.335
Y 0.500 0.000 0.829
Y 0.500 0.000 0.500
Dy 0.000 0.000 0.665
Y 0.000 0.500 0.829
La 0.000 0.000 0.000
Y 0.500 0.500 0.000
Y 0.500 0.500 0.664
Y 0.500 0.000 0.171
Y 0.000 0.500 0.500
Y 0.500 0.500 0.336

---

# 3
Material: La9Dy4Y
Method: DFT, PBE
State: relaxed

## Properties
E = -4.80 eV/atom
Fermi-level density of states = 22.90 states/eV/f.u.
SG = P6_3/mmc (194)
V = 36.06 Å³/atom

a = 11.578 Å, b = 10.034 Å, c = 10.034 Å
α = 120.00°, β = 90.00°, γ = 90.00°
Positions (direct):
La 0.750 0.919 0.460
La 0.250 0.081 0.540
La 0.250 0.460 0.540
La 0.028 0.793 0.587
La 0.528 0.207 0.793
Dy 0.750 0.890 0.780
La 0.472 0.793 0.587
La 0.972 0.207 0.413
La 0.028 0.413 0.207
La 0.528 0.207 0.413
Dy 0.750 0.220 0.110
La 0.250 0.460 0.919
Dy 0.250 0.110 0.220
La 0.972 0.587 0.793
La 0.472 0.793 0.207
La 0.028 0.793 0.207
Y 0.750 0.333 0.667
La 0.472 0.413 0.207
Dy 0.250 0.780 0.890
Dy 0.250 0.110 0.890
Dy 0.750 0.890 0.110
La 0.528 0.587 0.793
La 0.750 0.540 0.460
La 0.972 0.207 0.793
La 0.750 0.540 0.081
Y 0.250 0.667 0.333
Dy 0.000 0.000 0.000
Dy 0.500 0.000 0.000

---

# 4
Material: La2Dy12Y
Method: DFT, PBE
State: relaxed

## Properties
E = -4.71 eV/atom
Fermi-level density of states = 24.20 states/eV/f.u.
SG = P-1 (2)
V = 32.34 Å³/atom

a = 6.588 Å, b = 6.587 Å, c = 25.483 Å
α = 78.50°, β = 89.07°, γ = 115.67°
Positions (direct):
La 0.381 0.016 0.732
Dy 0.153 0.052 0.200
Dy 0.802 0.100 0.403
Dy 0.846 0.949 0.800
Dy 0.064 0.632 0.867
Y 0.500 0.000 0.000
Dy 0.302 0.600 0.403
Dy 0.914 0.082 0.665
Dy 0.965 0.927 0.073
Dy 0.564 0.131 0.867
Dy 0.936 0.369 0.133
Dy 0.347 0.448 0.800
Dy 0.227 0.458 0.540
Dy 0.654 0.551 0.200
La 0.119 0.484 0.268
La 0.619 0.984 0.268
Dy 0.414 0.582 0.665
Dy 0.535 0.573 0.927
Dy 0.086 0.918 0.335
Dy 0.727 0.958 0.540
Dy 0.436 0.868 0.133
Dy 0.273 0.042 0.460
Dy 0.698 0.400 0.597
Dy 0.035 0.073 0.927
La 0.881 0.516 0.732
Y 0.000 0.500 0.000
Dy 0.773 0.542 0.460
Dy 0.465 0.427 0.073
Dy 0.198 0.900 0.597
Dy 0.586 0.418 0.335

---

# 5
Material: La12Dy7Y
Method: DFT, PBE
State: relaxed

## Properties
E = -4.70 eV/atom
Fermi-level density of states = 36.28 states/eV/f.u.
SG = R-3 (148)
V = 34.97 Å³/atom

a = 8.877 Å, b = 8.877 Å, c = 8.877 Å
α = 89.59°, β = 89.59°, γ = 89.59°
Positions (direct):
La 0.283 0.146 0.734
La 0.856 0.518 0.392
Dy 0.141 0.376 0.060
Dy 0.376 0.060 0.141
La 0.734 0.283 0.146
Dy 0.859 0.624 0.940
La 0.854 0.266 0.717
La 0.717 0.854 0.266
La 0.392 0.856 0.518
La 0.266 0.717 0.854
Dy 0.940 0.859 0.624
Dy 0.624 0.940 0.859
Y 0.000 0.000 0.000
La 0.146 0.734 0.283
La 0.482 0.608 0.144
La 0.518 0.392 0.856
Dy 0.060 0.141 0.376
La 0.608 0.144 0.482
Dy 0.500 0.500 0.500
La 0.144 0.482 0.608

---

# 6
Material: LaDy3Y4
Method: DFT, PBE
State: relaxed

## Properties
E = -5.40 eV/atom
Fermi-level density of states = 15.98 states/eV/f.u.
SG = Immm (71)
V = 33.19 Å³/atom

a = 3.448 Å, b = 6.717 Å, c = 15.358 Å
α = 130.98°, β = 96.44°, γ = 90.00°
Positions (direct):
Y 0.626 0.635 0.252
Y 0.374 0.878 0.747
Dy 0.240 0.219 0.480
Dy 0.000 0.500 0.000
Dy 0.760 0.781 0.520
Y 0.626 0.122 0.253
Y 0.374 0.365 0.748
La 0.500 0.000 0.000

---

# 7
Material: LaDy2Y8
Method: DFT, PBE
State: relaxed

## Properties
E = -5.85 eV/atom
Fermi-level density of states = 19.55 states/eV/f.u.
SG = C2/m (12)
V = 34.17 Å³/atom

a = 5.559 Å, b = 10.267 Å, c = 10.267 Å
α = 39.97°, β = 92.73°, γ = 92.73°
Positions (direct):
Y 0.238 0.547 0.547
Y 0.268 0.133 0.599
Y 0.235 0.189 0.189
Y 0.762 0.453 0.453
Dy 0.752 0.285 0.285
Y 0.765 0.811 0.811
Y 0.732 0.401 0.867
La 0.000 0.000 0.000
Y 0.268 0.599 0.133
Y 0.732 0.867 0.401
Dy 0.248 0.715 0.715

---

# 8
Material: La3DyY2
Method: DFT, PBE
State: relaxed

## Properties
E = -5.36 eV/atom
Fermi-level density of states = 8.63 states/eV/f.u.
SG = P-1 (2)
V = 34.36 Å³/atom

a = 3.676 Å, b = 7.213 Å, c = 20.857 Å
α = 120.49°, β = 74.57°, γ = 120.08°
Positions (direct):
La 0.337 0.076 0.162
Y 0.336 0.577 0.162
La 0.329 0.333 0.669
La 0.671 0.667 0.331
Dy 0.000 0.500 0.000
La 0.663 0.924 0.838
Dy 0.000 0.000 0.000
La 0.995 0.246 0.499
Y 0.674 0.167 0.330
La 0.005 0.754 0.501
Y 0.326 0.833 0.670
Y 0.664 0.423 0.838

---

# 9
Material: La4Dy2Y
Method: DFT, PBE
State: relaxed

## Properties
E = -4.83 eV/atom
Fermi-level density of states = 10.06 states/eV/f.u.
SG = Imma (74)
V = 35.25 Å³/atom

a = 6.967 Å, b = 9.113 Å, c = 9.113 Å
α = 79.18°, β = 67.53°, γ = 67.53°
Positions (direct):
Dy 0.500 0.500 0.500
Y 0.000 0.500 0.000
Dy 0.285 0.965 0.465
Dy 0.715 0.035 0.535
La 0.790 0.242 0.742
La 0.226 0.242 0.742
La 0.774 0.758 0.258
La 0.848 0.152 0.151
La 0.152 0.848 0.849
Y 0.500 0.500 0.000
Dy 0.500 0.000 0.000
La 0.210 0.758 0.258
La 0.152 0.349 0.348
La 0.848 0.651 0.652

---

# 10
Material: LaDy9Y2
Method: DFT, PBE
State: relaxed

## Properties
E = -4.91 eV/atom
Fermi-level density of states = 18.14 states/eV/f.u.
SG = P4/mmm (123)
V = 32.09 Å³/atom

a = 5.041 Å, b = 5.041 Å, c = 15.153 Å
α = 90.00°, β = 90.00°, γ = 90.00°
Positions (direct):
Y 0.000 0.000 0.334
Dy 0.500 0.000 0.500
Dy 0.000 0.500 0.830
Dy 0.500 0.000 0.830
Dy 0.500 0.500 0.336
Dy 0.500 0.500 0.000
Dy 0.500 0.500 0.664
La 0.000 0.000 0.000
Dy 0.000 0.500 0.170
Dy 0.000 0.500 0.500
Dy 0.500 0.000 0.170
Y 0.000 0.000 0.666

---

# 11
Material: La4Dy5Y2
Method: DFT, PBE
State: relaxed

## Properties
E = -4.97 eV/atom
Fermi-level density of states = 18.26 states/eV/f.u.
SG = C2/m (12)
V = 33.80 Å³/atom

a = 3.565 Å, b = 11.741 Å, c = 9.083 Å
α = 94.14°, β = 101.32°, γ = 90.00°
Positions (direct):
Dy 0.500 0.000 0.000
La 0.963 0.738 0.927
Dy 0.822 0.929 0.643
Y 0.285 0.643 0.570
Dy 0.178 0.071 0.357
La 0.037 0.262 0.073
Dy 0.098 0.539 0.195
La 0.360 0.204 0.719
Dy 0.902 0.461 0.805
La 0.640 0.796 0.281
Y 0.715 0.357 0.430

---

# 12
Material: La4Dy2Y
Method: DFT, PBE
State: relaxed

## Properties
E = -4.98 eV/atom
Fermi-level density of states = 12.45 states/eV/f.u.
SG = Cc (9)
V = 35.06 Å³/atom

a = 12.772 Å, b = 12.772 Å, c = 6.893 Å
α = 96.99°, β = 96.99°, γ = 150.27°
Positions (direct):
La 0.713 0.176 0.862
Y 0.667 0.417 0.001
Dy 0.105 0.921 0.544
La 0.563 0.601 0.139
Dy 0.921 0.105 0.044
La 0.795 0.188 0.402
La 0.188 0.795 0.902
La 0.601 0.563 0.639
Dy 0.310 0.626 0.956
Dy 0.626 0.310 0.456
Y 0.417 0.667 0.501
La 0.037 0.143 0.597
La 0.176 0.713 0.362
La 0.143 0.037 0.097

---

# 13
Material: La3Dy4Y3
Method: DFT, PBE
State: relaxed

## Properties
E = -5.17 eV/atom
Fermi-level density of states = 13.19 states/eV/f.u.
SG = Amm2 (38)
V = 34.36 Å³/atom

a = 3.751 Å, b = 9.570 Å, c = 9.570 Å
α = 89.87°, β = 90.00°, γ = 90.00°
Positions (direct):
Dy 0.000 0.121 0.128
Y 0.500 0.329 0.327
Dy 0.000 0.624 0.376
Dy 0.000 0.379 0.621
Dy 0.000 0.872 0.879
La 0.500 0.173 0.827
La 0.000 0.997 0.494
Y 0.500 0.826 0.174
La 0.000 0.506 0.003
Y 0.500 0.673 0.671

---

# 14
Material: La3Dy3Y
Method: DFT, PBE
State: relaxed

## Properties
E = -4.97 eV/atom
Fermi-level density of states = 13.60 states/eV/f.u.
SG = P6_3/m (176)
V = 34.45 Å³/atom

a = 5.824 Å, b = 9.779 Å, c = 9.779 Å
α = 120.00°, β = 90.00°, γ = 90.00°
Positions (direct):
La 0.750 0.624 0.096
La 0.250 0.528 0.624
La 0.750 0.472 0.376
La 0.250 0.376 0.904
Y 0.250 0.667 0.333
La 0.250 0.096 0.472
La 0.750 0.904 0.528
Dy 0.250 0.956 0.768
Dy 0.750 0.188 0.956
Dy 0.750 0.044 0.232
Dy 0.750 0.768 0.812
Dy 0.250 0.812 0.044
Y 0.750 0.333 0.667
Dy 0.250 0.232 0.188

---

# 15
Material: La2Dy2Y
Method: DFT, PBE
State: relaxed

## Properties
E = -4.89 eV/atom
Fermi-level density of states = 5.94 states/eV/f.u.
SG = C2/c (15)
V = 35.56 Å³/atom

a = 9.378 Å, b = 9.378 Å, c = 6.462 Å
α = 123.09°, β = 123.09°, γ = 91.14°
Positions (direct):
Dy 0.384 0.272 0.080
Dy 0.272 0.384 0.580
Y 0.063 0.937 0.250
Dy 0.616 0.728 0.920
La 0.685 0.315 0.750
Y 0.937 0.063 0.750
La 0.800 0.200 0.250
Dy 0.728 0.616 0.420
La 0.200 0.800 0.750
La 0.315 0.685 0.250

---

# 16
Material: La5DyY8
Method: DFT, PBE
State: relaxed

## Properties
E = -5.55 eV/atom
Fermi-level density of states = 21.40 states/eV/f.u.
SG = C2 (5)
V = 34.56 Å³/atom

a = 8.256 Å, b = 8.917 Å, c = 8.256 Å
α = 108.87°, β = 103.64°, γ = 112.59°
Positions (direct):
La 0.498 0.000 0.498
Y 0.309 0.234 0.427
Y 0.929 0.074 0.639
Y 0.078 0.733 0.478
Y 0.674 0.398 0.918
La 0.290 0.119 0.971
La 0.031 0.340 0.120
Y 0.520 0.602 0.276
Dy 0.286 0.500 0.786
Y 0.745 0.267 0.345
Y 0.565 0.926 0.855
La 0.781 0.660 0.692
Y 0.192 0.766 0.074
La 0.851 0.881 0.171

---

# 17
Material: La6DyY2
Method: DFT, PBE
State: relaxed

## Properties
E = -4.81 eV/atom
Fermi-level density of states = 16.01 states/eV/f.u.
SG = P-31m (162)
V = 39.31 Å³/atom

a = 9.545 Å, b = 6.542 Å, c = 6.542 Å
α = 120.00°, β = 90.00°, γ = 90.00°
Last column: magnetic moment on the atom in μB.
Positions (direct):
La 0.202 0.365 0.000  -0.01
La 0.798 0.635 0.000  -0.01
La 0.202 0.000 0.365  -0.01
Y 0.500 0.667 0.333  -0.08
La 0.202 0.635 0.635  -0.01
La 0.798 0.000 0.635  -0.01
La 0.798 0.365 0.365  -0.01
Dy 0.000 0.000 0.000  0.01
Y 0.500 0.333 0.667  -0.08

---

# 18
Material: LaDy12Y2
Method: DFT, PBE
State: relaxed

## Properties
E = -4.71 eV/atom
Fermi-level density of states = 26.22 states/eV/f.u.
SG = Cmme (67)
V = 32.92 Å³/atom

a = 6.647 Å, b = 6.647 Å, c = 24.836 Å
α = 90.00°, β = 90.00°, γ = 115.84°
Positions (direct):
La 0.000 0.500 0.001
Dy 0.000 0.000 0.672
Dy 0.500 0.500 0.798
Dy 0.751 0.749 0.918
Dy 0.249 0.749 0.133
Y 0.000 0.500 0.732
Dy 0.739 0.761 0.561
Dy 0.000 0.000 0.798
Dy 0.749 0.751 0.082
Dy 0.000 0.000 0.202
Dy 0.000 0.000 0.328
Y 0.000 0.500 0.271
Y 0.500 0.000 0.729
Dy 0.751 0.251 0.133
La 0.500 0.000 0.999
Dy 0.741 0.241 0.415
Y 0.500 0.000 0.268
Dy 0.500 0.500 0.672
Dy 0.259 0.759 0.415
Dy 0.239 0.261 0.439
Dy 0.749 0.249 0.867
Dy 0.761 0.739 0.439
Dy 0.261 0.239 0.561
Dy 0.251 0.249 0.082
Dy 0.759 0.259 0.585
Dy 0.251 0.751 0.867
Dy 0.249 0.251 0.918
Dy 0.241 0.741 0.585
Dy 0.500 0.500 0.202
Dy 0.500 0.500 0.328